i | Material: CdMoBr
Method: DFT, SCAN
State: single point on PBEsol structure

abc: 4.852 4.852 4.852
angles: 60.00 60.00 60.00
Fractional positions:
Cd  0.000  0.000  0.000
Mo  0.250  0.250  0.250
Br  0.750  0.750  0.750

Space-group type: No. 216
Calculated density: 5.93 g cm⁻³

ii | Material: CdMoBr
Method: DFT, SCAN
State: single point on PBEsol structure

abc: 6.607 6.607 6.607
angles: 153.04 153.04 38.50
Fractional positions:
Cd  0.000  0.000  0.000
Mo  0.656  0.656  0.000
Br  0.269  0.269  0.000

Space-group type: No. 107
Calculated density: 8.09 g cm⁻³

Relative to the most stable structure, the computed energies are i 0.670; ii 0.000, all in eV/atom.

i | Material: CdMoBr2
Method: DFT, SCAN
State: single point on PBEsol structure

abc: 3.299 3.299 10.195
angles: 90.00 90.00 123.95
Fractional positions:
Cd  0.000  0.000  0.000
Mo  0.000  0.000  0.500
Br  0.500  0.500  0.301
Br  0.500  0.500  0.699

Space-group type: No. 65
Calculated density: 6.64 g cm⁻³

ii | Material: CdMoBr2
Method: DFT, SCAN
State: single point on PBEsol structure

abc: 5.045 5.045 5.045
angles: 60.00 60.00 60.00
Fractional positions:
Cd  0.000  0.000  0.000
Mo  0.250  0.250  0.250
Br  0.500  0.500  0.500
Br  0.750  0.750  0.750

Space-group type: No. 216
Calculated density: 6.73 g cm⁻³

Relative to the most stable structure, the computed energies are i 0.000; ii 0.425, all in eV/atom.

i | Material: CdMoBr2
Method: DFT, SCAN
State: single point on PBEsol structure

abc: 9.173 9.173 9.173
angles: 20.76 20.76 20.76
Fractional positions:
Cd  0.000  0.000  0.000
Mo  0.750  0.750  0.750
Br  0.256  0.256  0.256
Br  0.477  0.477  0.477

Space-group type: No. 160
Calculated density: 7.20 g cm⁻³

ii | Material: CdMoBr2
Method: DFT, SCAN
State: single point on PBEsol structure

abc: 4.773 3.304 5.697
angles: 90.00 114.32 90.00
Fractional positions:
Cd  0.000  0.000  0.000
Mo  0.000  0.500  0.500
Br  0.500  0.000  0.500
Br  0.500  0.500  0.000

Space-group type: No. 10
Calculated density: 7.47 g cm⁻³

Relative to the most stable structure, the computed energies are i 0.000; ii 0.513, all in eV/atom.

i | Material: CdTeBrN2
Method: DFT, SCAN
State: single point on PBEsol structure

abc: 3.958 3.958 7.419
angles: 90.00 90.00 90.00
Fractional positions:
Cd  0.000  0.000  0.000
Te  0.500  0.500  0.000
Br  0.500  0.500  0.500
N  0.000  0.500  0.500
N  0.500  0.000  0.500

Space-group type: No. 123
Calculated density: 4.97 g cm⁻³

ii | Material: CdTeBrN2
Method: DFT, SCAN
State: single point on PBEsol structure

abc: 4.306 4.306 6.187
angles: 90.00 90.00 90.00
Fractional positions:
Cd  0.000  0.000  0.000
Te  0.000  0.000  0.500
Br  0.500  0.500  0.500
N  0.000  0.500  0.000
N  0.500  0.000  0.000

Space-group type: No. 123
Calculated density: 5.04 g cm⁻³

Relative to the most stable structure, the computed energies are i 0.452; ii 0.000, all in eV/atom.

i | Material: Cd2PBr
Method: DFT, SCAN
State: single point on PBEsol structure

abc: 4.914 4.914 4.914
angles: 60.00 60.00 60.00
Fractional positions:
Cd  0.000  0.000  0.000
Cd  0.250  0.250  0.250
P  0.750  0.750  0.750
Br  0.500  0.500  0.500

Space-group type: No. 216
Calculated density: 6.64 g cm⁻³

ii | Material: Cd2PBr
Method: DFT, SCAN
State: single point on PBEsol structure

abc: 3.405 3.405 7.307
angles: 90.00 90.00 90.00
Fractional positions:
Cd  0.000  0.000  0.210
Cd  0.000  0.000  0.790
P  0.500  0.500  0.000
Br  0.500  0.500  0.500

Space-group type: No. 123
Calculated density: 6.58 g cm⁻³

Relative to the most stable structure, the computed energies are i 0.430; ii 0.000, all in eV/atom.

i | Material: Cd2PBr
Method: DFT, SCAN
State: single point on PBEsol structure

abc: 7.589 7.589 7.589
angles: 133.01 133.01 68.64
Fractional positions:
Cd  0.062  0.625  0.937
Cd  0.375  0.312  0.437
Cd  0.688  0.125  0.063
Cd  0.875  0.938  0.563
P  0.000  0.000  0.000
P  0.750  0.250  0.500
Br  0.250  0.750  0.500
Br  0.500  0.500  0.000

Space-group type: No. 122
Calculated density: 4.86 g cm⁻³

ii | Material: Cd2PBr
Method: DFT, SCAN
State: single point on PBEsol structure

abc: 7.288 7.288 7.288
angles: 151.35 149.76 42.15
Fractional positions:
Cd  0.000  0.000  0.000
Cd  0.689  0.189  0.500
P  0.145  0.645  0.500
Br  0.390  0.390  0.000

Space-group type: No. 44
Calculated density: 5.98 g cm⁻³

Relative to the most stable structure, the computed energies are i 0.000; ii 0.295, all in eV/atom.